Computed, not measured: a relaxed Si3SnRh crystal at the PBEsol level of DFT.

Geometry as POSCAR:
```
Si3SnRh
1.0
4.918 0.000 0.000
0.000 4.918 0.000
0.000 0.000 4.918
Rh Si Sn
1 3 1
Cartesian
2.459 2.459 2.459
2.459 0.000 0.000
0.000 0.000 2.459
0.000 2.459 0.000
0.000 0.000 0.000
```

Calculated values
- electronic total energy (eV/atom) = -4.163
- spin magnetization (μB per cell) = 0.00
- space-group type = No. 221


Computed, not measured: a relaxed Ba2SnRuN crystal at the PBEsol level of DFT.

Geometry as POSCAR:
```
Ba2SnRuN
1.0
-2.017 3.114 3.102
-4.990 0.746 -3.993
-3.050 -4.866 2.902
Ba N Sn Ru
2 1 1 1
Cartesian
-1.525 -2.433 1.451
-2.495 0.373 -1.997
-5.028 -0.503 1.005
0.000 0.000 0.000
-1.008 1.557 1.551
```

Calculated values
- electronic total energy (eV/atom) = -4.179
- spin magnetization (μB per cell) = 2.40
- space-group type = No. 123


Computed, not measured: a relaxed SrAuSe2N crystal at the PBEsol level of DFT.

Geometry as POSCAR:
```
SrAuSe2N
1.0
3.923 0.000 0.000
0.000 5.274 0.000
0.000 0.000 5.274
Sr Au Se N
1 1 2 1
Cartesian
1.962 2.637 2.637
0.000 0.000 0.000
0.000 2.637 0.000
0.000 0.000 2.637
1.962 0.000 0.000
```

Calculated values
- electronic total energy (eV/atom) = -4.452
- spin magnetization (μB per cell) = 1.53
- space-group type = No. 123


Computed, not measured: a relaxed BeNiCl crystal at the PBEsol level of DFT.

Geometry as POSCAR:
```
BeNiCl
1.0
2.887 0.000 0.000
-1.443 2.500 0.000
0.000 0.000 5.055
Be Cl Ni
1 1 1
Cartesian
0.000 0.000 5.026
0.000 1.667 3.583
1.443 0.833 1.502
```

Calculated values
- electronic total energy (eV/atom) = -4.069
- spin magnetization (μB per cell) = 0.00
- energy above the most stable polymorph in this dataset (eV/atom) = 0.000
- space-group type = No. 156


Computed, not measured: a relaxed AlAsSeN2 crystal at the PBEsol level of DFT.

Geometry as POSCAR:
```
AlAsSeN2
1.0
-3.793 -0.170 -0.479
0.373 -3.379 -1.758
-0.450 -2.334 4.390
Al As N Se
1 1 2 1
Cartesian
-0.225 -1.167 2.195
-1.935 -2.941 1.077
0.187 -1.689 -0.879
-1.896 -0.085 -0.239
0.000 0.000 0.000
```

Calculated values
- electronic total energy (eV/atom) = -4.616
- spin magnetization (μB per cell) = 1.33
- space-group type = No. 123


Computed, not measured: a relaxed BaReIr3 crystal at the PBEsol level of DFT.

Geometry as POSCAR:
```
BaReIr3
1.0
4.917 0.000 0.000
0.000 4.917 0.000
0.000 0.000 4.917
Ba Ir Re
1 3 1
Cartesian
0.000 0.000 0.000
2.458 0.000 0.000
0.000 0.000 2.458
0.000 2.458 0.000
2.458 2.458 2.458
```

Calculated values
- electronic total energy (eV/atom) = -5.273
- spin magnetization (μB per cell) = 4.54
- energy above the most stable polymorph in this dataset (eV/atom) = 2.806
- space-group type = No. 221


Computed, not measured: a relaxed TcRu2Br crystal at the PBEsol level of DFT.

Geometry as POSCAR:
```
TcRu2Br
1.0
4.153 0.000 0.000
-2.077 3.940 0.010
0.000 2.180 3.535
Ru Br Tc
2 1 1
Cartesian
0.000 2.515 0.889
0.000 0.000 0.000
2.077 3.605 2.656
2.077 1.090 1.767
```

Calculated values
- electronic total energy (eV/atom) = -7.409
- spin magnetization (μB per cell) = 0.00
- energy above the most stable polymorph in this dataset (eV/atom) = 0.462
- space-group type = No. 119


Computed, not measured: a relaxed NaBr2Cl crystal at the PBEsol level of DFT.

Geometry as POSCAR:
```
NaBr2Cl
1.0
-0.910 2.864 -1.336
-2.530 1.676 1.268
6.216 7.199 7.149
Cl Na Br
1 1 2
Cartesian
1.388 5.869 3.541
0.000 0.000 0.000
-1.816 5.794 1.515
4.592 5.944 5.567
```

Calculated values
- electronic total energy (eV/atom) = -1.770
- spin magnetization (μB per cell) = 0.77
- space-group type = No. 166


Computed, not measured: a relaxed Mg2ScRh crystal at the PBEsol level of DFT.

Geometry as POSCAR:
```
Mg2ScRh
1.0
-0.902 2.421 1.856
-1.861 1.097 -2.335
-5.759 -4.164 2.634
Sc Mg Rh
1 2 1
Cartesian
-5.381 -1.133 1.589
-3.082 0.529 0.538
-0.040 -0.029 0.018
-2.898 -2.095 1.325
```

Calculated values
- electronic total energy (eV/atom) = -4.975
- spin magnetization (μB per cell) = 0.00
- space-group type = No. 99


Computed, not measured: a relaxed TaCuRu2 crystal at the PBEsol level of DFT.

Geometry as POSCAR:
```
TaCuRu2
1.0
3.138 0.000 0.000
0.000 3.138 0.000
0.000 0.000 5.668
Ru Ta Cu
2 1 1
Cartesian
0.000 0.000 1.503
0.000 0.000 4.165
1.569 1.569 0.000
1.569 1.569 2.834
```

Calculated values
- electronic total energy (eV/atom) = -9.400
- spin magnetization (μB per cell) = 0.00
- space-group type = No. 123


Computed, not measured: a relaxed ZrHg7 crystal at the PBEsol level of DFT.

Geometry as POSCAR:
```
ZrHg7
1.0
6.270 0.000 0.000
3.135 5.430 0.000
3.135 1.810 5.119
Hg Zr
7 1
Cartesian
6.270 3.620 2.560
3.135 3.620 2.560
4.702 2.715 0.000
1.567 0.905 2.560
3.135 0.000 0.000
1.567 2.715 0.000
4.702 0.905 2.560
0.000 0.000 0.000
```

Calculated values
- electronic total energy (eV/atom) = -1.669
- spin magnetization (μB per cell) = 0.00
- space-group type = No. 225


Computed, not measured: a relaxed ZrPtCl2 crystal at the PBEsol level of DFT.

Geometry as POSCAR:
```
ZrPtCl2
1.0
3.088 0.000 0.000
0.000 4.272 0.000
0.000 0.000 5.258
Pt Zr Cl
1 1 2
Cartesian
1.544 2.136 0.000
0.000 2.136 2.629
0.000 0.000 0.000
1.544 0.000 2.629
```

Calculated values
- electronic total energy (eV/atom) = -5.436
- spin magnetization (μB per cell) = 0.00
- energy above the most stable polymorph in this dataset (eV/atom) = 0.742
- space-group type = No. 47


Computed, not measured: a relaxed Cu7Pt4 crystal at the PBEsol level of DFT.

Geometry as POSCAR:
```
Cu7Pt4
1.0
-2.020 4.048 0.335
-3.748 -0.783 -2.482
-3.607 -1.428 5.775
Cu Pt
7 4
Cartesian
-5.494 -0.519 4.190
-5.615 1.979 3.547
-3.854 2.984 1.982
-3.748 0.485 2.629
-7.467 0.323 2.611
-5.668 1.342 1.077
-3.605 -1.404 5.753
-3.793 2.430 -0.645
-3.742 -0.174 0.082
-1.911 1.520 0.980
-5.584 -1.208 1.710
```

Calculated values
- electronic total energy (eV/atom) = -5.390
- spin magnetization (μB per cell) = 0.00
- space-group type = No. 1


Computed, not measured: a relaxed Ag2PtBr crystal at the PBEsol level of DFT.

Geometry as POSCAR:
```
Ag2PtBr
1.0
-1.934 -2.066 -1.351
-1.737 -1.273 4.433
-2.559 3.705 -2.003
Ag Br Pt
2 1 1
Cartesian
-1.280 1.852 -1.001
-0.868 -0.637 2.216
-3.115 0.183 0.539
-0.967 -1.033 -0.676
```

Calculated values
- electronic total energy (eV/atom) = -3.577
- spin magnetization (μB per cell) = 0.00
- energy above the most stable polymorph in this dataset (eV/atom) = 0.090
- space-group type = No. 65


Computed, not measured: a relaxed MnSb crystal at the PBEsol level of DFT.

Geometry as POSCAR:
```
MnSb
1.0
-2.877 -0.750 0.804
-1.741 -1.683 -1.903
1.607 -8.593 3.639
Sb Mn
2 2
Cartesian
0.652 -6.231 2.423
-3.664 -4.795 0.116
-0.145 -8.880 3.003
-2.867 -2.146 -0.463
```

Calculated values
- electronic total energy (eV/atom) = -6.661
- spin magnetization (μB per cell) = 0.01
- space-group type = No. 166


Computed, not measured: a relaxed Zn3RePt crystal at the PBEsol level of DFT.

Geometry as POSCAR:
```
Zn3RePt
1.0
-4.294 -1.699 -0.255
0.379 -0.267 -4.602
1.675 -4.293 0.387
Zn Re Pt
3 1 1
Cartesian
0.838 -2.147 0.193
-2.147 -0.849 -0.128
0.189 -0.133 -2.301
-1.120 -3.129 -2.235
0.000 0.000 0.000
```

Calculated values
- electronic total energy (eV/atom) = -3.803
- spin magnetization (μB per cell) = 3.40
- space-group type = No. 221


Computed, not measured: a relaxed ZrSiRu crystal at the PBEsol level of DFT.

Geometry as POSCAR:
```
ZrSiRu
1.0
-1.578 2.121 -1.654
-3.227 -2.676 -0.352
0.177 2.666 3.249
Ru Si Zr
1 1 1
Cartesian
0.000 0.000 0.000
-0.958 0.885 2.049
-2.881 0.165 0.021
```

Calculated values
- electronic total energy (eV/atom) = -9.066
- spin magnetization (μB per cell) = 0.00
- space-group type = No. 187


Computed, not measured: a relaxed Ba2InHg2 crystal at the PBEsol level of DFT.

Geometry as POSCAR:
```
Ba2InHg2
1.0
6.336 0.014 0.020
-3.013 5.574 -0.020
-3.013 -1.990 5.206
In Ba Hg
1 2 2
Cartesian
0.000 0.000 0.000
0.155 3.690 1.297
0.155 -0.092 3.910
-2.067 1.229 1.779
-3.959 2.355 3.408
```

Calculated values
- electronic total energy (eV/atom) = -2.003
- spin magnetization (μB per cell) = 0.00
- energy above the most stable polymorph in this dataset (eV/atom) = 0.141
- space-group type = No. 139


Computed, not measured: a relaxed CrOs3 crystal at the PBEsol level of DFT.

Geometry as POSCAR:
```
CrOs3
1.0
-2.791 -2.979 1.629
0.905 -2.685 -3.360
3.273 -1.798 2.319
Os Cr
3 1
Cartesian
1.636 -0.899 1.159
-1.395 -1.490 0.815
0.453 -1.343 -1.680
0.000 0.000 0.000
```

Calculated values
- electronic total energy (eV/atom) = -8.929
- spin magnetization (μB per cell) = 1.77
- space-group type = No. 221


Computed, not measured: a relaxed LuBiO3 crystal at the PBEsol level of DFT.

Geometry as POSCAR:
```
LuBiO3
1.0
-3.260 4.635 -1.453
-4.992 -0.747 -2.957
-5.196 0.902 2.758
O Lu Bi
6 2 2
Cartesian
-4.713 0.789 -1.233
-5.408 2.771 1.390
-8.040 2.019 -3.042
-8.735 4.001 -0.419
-5.584 4.672 -1.375
-7.864 0.118 -0.277
-4.142 1.072 0.936
-9.306 3.718 -2.588
-5.706 2.559 -2.586
-7.742 2.231 0.934
```

Calculated values
- electronic total energy (eV/atom) = -7.431
- spin magnetization (μB per cell) = 0.00
- space-group type = No. 148


Computed, not measured: a relaxed Y2FeSb crystal at the PBEsol level of DFT.

Geometry as POSCAR:
```
Y2FeSb
1.0
4.246 0.000 0.000
0.000 4.246 0.000
-2.123 -2.123 5.007
Y Fe Sb
2 1 1
Cartesian
2.123 0.000 2.503
0.000 0.000 0.000
2.123 2.123 0.000
0.000 2.123 2.503
```

Calculated values
- electronic total energy (eV/atom) = -7.030
- spin magnetization (μB per cell) = 2.16
- space-group type = No. 119


Computed, not measured: a relaxed KTeBr2 crystal at the PBEsol level of DFT.

Geometry as POSCAR:
```
KTeBr2
1.0
3.649 0.000 0.000
0.000 5.486 0.000
0.000 0.000 5.486
Br Te K
2 1 1
Cartesian
0.000 0.000 2.743
0.000 2.743 0.000
1.824 0.000 0.000
1.824 2.743 2.743
```

Calculated values
- electronic total energy (eV/atom) = -2.731
- spin magnetization (μB per cell) = 0.00
- energy above the most stable polymorph in this dataset (eV/atom) = 0.000
- space-group type = No. 123


Computed, not measured: a relaxed Ga2SnSb crystal at the PBEsol level of DFT.

Geometry as POSCAR:
```
Ga2SnSb
1.0
6.168 0.000 0.000
0.000 6.168 0.000
-3.084 -3.084 6.001
Ga Sb Sn
4 2 2
Cartesian
1.548 4.626 1.500
1.542 1.536 4.501
-1.542 -1.536 4.501
4.620 1.542 1.500
0.000 0.000 0.000
0.000 3.084 3.000
3.084 3.084 0.000
3.084 0.000 3.000
```

Calculated values
- electronic total energy (eV/atom) = -3.840
- spin magnetization (μB per cell) = 0.00
- space-group type = No. 122


Computed, not measured: a relaxed AgAs2RhSe crystal at the PBEsol level of DFT.

Geometry as POSCAR:
```
AgAs2RhSe
1.0
4.589 0.000 0.000
0.000 4.589 0.000
0.000 0.000 5.257
As Se Ag Rh
2 1 1 1
Cartesian
2.294 0.000 0.000
0.000 2.294 0.000
0.000 0.000 2.629
2.294 2.294 2.629
0.000 0.000 0.000
```

Calculated values
- electronic total energy (eV/atom) = -4.604
- spin magnetization (μB per cell) = 0.00
- space-group type = No. 123


Computed, not measured: a relaxed Nd3Eu crystal at the PBEsol level of DFT.

Geometry as POSCAR:
```
Nd3Eu
1.0
-0.630 -4.442 2.451
2.871 -2.348 -3.518
4.183 0.943 2.784
Nd Eu
3 1
Cartesian
1.121 -3.395 -0.533
3.527 -0.702 -0.367
1.776 -1.749 2.618
0.000 0.000 0.000
```

Calculated values
- electronic total energy (eV/atom) = -6.480
- spin magnetization (μB per cell) = 7.31
- space-group type = No. 221


Computed, not measured: a relaxed LiIn crystal at the PBEsol level of DFT.

Geometry as POSCAR:
```
LiIn
1.0
4.846 0.000 0.000
0.000 5.209 0.000
0.000 0.000 6.123
In Li
4 4
Cartesian
1.211 2.222 3.833
3.634 0.382 0.771
3.634 2.987 2.290
1.211 4.827 5.352
3.634 3.091 5.350
1.211 2.118 0.774
3.634 0.486 3.835
1.211 4.723 2.288
```

Calculated values
- electronic total energy (eV/atom) = -2.796
- spin magnetization (μB per cell) = 0.00
- space-group type = No. 62


Computed, not measured: a relaxed MgZrPt2 crystal at the PBEsol level of DFT.

Geometry as POSCAR:
```
MgZrPt2
1.0
-1.535 -2.508 0.477
3.095 -2.412 -2.716
2.673 -0.904 3.849
Zr Mg Pt
1 1 2
Cartesian
2.116 -2.912 0.805
-0.768 -1.254 0.239
1.336 -0.452 1.925
1.548 -1.206 -1.358
```

Calculated values
- electronic total energy (eV/atom) = -7.065
- spin magnetization (μB per cell) = 0.00
- space-group type = No. 123


Computed, not measured: a relaxed ZrScMn2Ni crystal at the PBEsol level of DFT.

Geometry as POSCAR:
```
ZrScMn2Ni
1.0
4.494 0.000 0.000
0.000 4.494 0.000
0.000 0.000 4.979
Mn Sc Zr Ni
2 1 1 1
Cartesian
2.247 0.000 0.000
0.000 2.247 0.000
0.000 0.000 2.490
0.000 0.000 0.000
2.247 2.247 2.490
```

Calculated values
- electronic total energy (eV/atom) = -6.695
- spin magnetization (μB per cell) = 5.64
- space-group type = No. 123


Computed, not measured: a relaxed La5Hg crystal at the PBEsol level of DFT.

Geometry as POSCAR:
```
La5Hg
1.0
-1.532 -2.278 2.544
-1.126 -2.664 -5.818
7.982 -2.358 2.697
La Hg
5 1
Cartesian
0.353 -3.535 -2.953
4.496 -1.764 1.129
1.303 -3.337 0.549
5.976 -4.774 2.078
4.403 -4.366 -1.257
0.137 -0.057 0.031
```

Calculated values
- electronic total energy (eV/atom) = -4.722
- spin magnetization (μB per cell) = 0.00
- energy above the most stable polymorph in this dataset (eV/atom) = 0.009
- space-group type = No. 8